Entry from the Alexandria database: a relaxed structure of Sr5TlHg (PBE).

a = 7.8359 Å, b = 7.8359 Å, c = 12.7574 Å
α = 108.21°, β = 108.21°, γ = 60.51°
Last column: nearest neighbours and their distance in Å.
Positions (direct):
Sr 0.0271 0.9729 0.7500  2 Hg 3.20, 1 Tl 3.55
Sr 0.0605 0.3997 0.6478  1 Hg 3.29, 1 Tl 3.60
Sr 0.2346 0.5290 0.9847  1 Hg 3.18, 1 Tl 3.45
Sr 0.3997 0.0605 0.1478  1 Hg 3.29, 1 Tl 3.60
Sr 0.4710 0.7654 0.5153  1 Hg 3.18, 1 Tl 3.45
Sr 0.5290 0.2346 0.4847  1 Hg 3.18, 1 Tl 3.45
Sr 0.6003 0.9395 0.8522  1 Hg 3.29, 1 Tl 3.60
Sr 0.7654 0.4710 0.0153  1 Hg 3.18, 1 Tl 3.45
Sr 0.9395 0.6003 0.3522  1 Hg 3.29, 1 Tl 3.60
Sr 0.9729 0.0271 0.2500  2 Hg 3.20, 1 Tl 3.55
Tl 0.4763 0.5237 0.7500  5 Sr 3.45-3.60
Tl 0.5237 0.4763 0.2500  5 Sr 3.45-3.60
Hg 0.0000 0.0000 0.0000  6 Sr 3.18-3.29
Hg 0.0000 0.0000 0.5000  6 Sr 3.18-3.29

The value obtained for the density of states at the Fermi level is 1.201 states/eV per atom. The calculated volume is 636 Å³ per cell. Its formation energy is -1.185 eV per formula unit.

Entry from the Alexandria database: a relaxed structure of RbTcRu2Pt (PBE).

a = 5.0200 Å, b = 5.0200 Å, c = 4.9087 Å
α = 90.00°, β = 90.00°, γ = 90.00°
Last column: nearest neighbours and their distance in Å.
Positions (direct):
Rb 0.0000 0.0000 0.0000  8 Ru 3.51, 4 Tc 3.55
Tc 0.5000 0.5000 0.0000  2 Pt 2.45
Ru 0.0000 0.5000 0.5000  2 Pt 2.51
Ru 0.5000 0.0000 0.5000  2 Pt 2.51
Pt 0.5000 0.5000 0.5000  2 Tc 2.45, 4 Ru 2.51

The value obtained for the density of states at the Fermi level is 1.404 states/eV per atom. The calculated volume is 124 Å³ per cell. Its formation energy is 8.715 eV per formula unit.

Entry from the Alexandria database: a relaxed structure of BiTe3P (PBE).

a = 5.9544 Å, b = 5.9544 Å, c = 5.9544 Å
α = 90.00°, β = 90.00°, γ = 90.00°
Last column: nearest neighbours and their distance in Å.
Positions (direct):
Bi 0.0000 0.0000 0.0000  6 Te 2.98
Te 0.0000 0.0000 0.5000  2 Bi 2.98
Te 0.0000 0.5000 0.0000  2 Bi 2.98
Te 0.5000 0.0000 0.0000  2 Bi 2.98
P 0.5000 0.5000 0.5000  12 Te 4.21

The offset from the most stable computed form is 362 kJ/mol of formula units. Its raw formation energy is 1.100 eV/atom. The value obtained for the density of states at the Fermi level is 1.181 states/eV per atom. The calculated volume is 211 Å³ per cell.

Entry from the Alexandria database: a relaxed structure of Sr2LaSc (PBE).

a = 3.7606 Å, b = 3.7606 Å, c = 11.2752 Å
α = 90.00°, β = 90.00°, γ = 90.00°
Last column: nearest neighbours and their distance in Å.
Positions (direct):
Sr 0.0000 0.0000 0.2321  4 Sc 3.73, 4 Sr 3.76, 4 La 4.02
Sr 0.0000 0.0000 0.7679  4 Sc 3.73, 4 Sr 3.76, 4 La 4.02
La 0.5000 0.5000 0.5000  4 La 3.76, 8 Sr 4.02
Sc 0.5000 0.5000 0.0000  8 Sr 3.73, 4 Sc 3.76

The offset from the most stable computed form is 65 kJ/mol of formula units. The value obtained for the density of states at the Fermi level is 1.656 states/eV per atom. The calculated volume is 159 Å³ per cell. Its formation energy is 1.193 eV per formula unit.